Version w
Mg14BiC | the Alexandria database | PBE | relaxed; Fermi-level density of states = 5.33 states/eV per cell; space group = Amm2; volume = 23.574 Å³/atom
1.0
4.359 0.006 4.612
-5.241 3.010 1.936
-3.661 -8.608 3.471
Mg Bi C
14 1 1
direct
0.106 0.894 0.000 Mg
0.637 0.363 0.000 Mg
0.067 0.347 0.500 Mg
0.156 0.413 0.000 Mg
0.653 0.933 0.500 Mg
0.587 0.844 0.000 Mg
0.350 0.137 0.751 Mg
0.350 0.137 0.249 Mg
0.863 0.650 0.751 Mg
0.863 0.650 0.249 Mg
0.351 0.649 0.721 Mg
0.351 0.649 0.279 Mg
0.858 0.142 0.774 Mg
0.858 0.142 0.226 Mg
0.593 0.407 0.500 Bi
0.355 0.645 0.500 C

---

Version x
Mg14BiC | the Alexandria database | PBE | relaxed; Fermi-level density of states = 7.88 states/eV per cell; space group = P-6m2; volume = 21.872 Å³/atom
1.0
-0.571 -0.814 -6.267
-3.660 -3.323 3.978
-6.927 7.256 -0.311
Mg Bi C
14 1 1
direct
0.987 0.493 0.000 Mg
0.006 0.503 0.500 Mg
0.507 0.013 0.000 Mg
0.497 0.994 0.500 Mg
0.507 0.493 0.000 Mg
0.497 0.503 0.500 Mg
0.161 0.839 0.224 Mg
0.161 0.839 0.776 Mg
0.161 0.322 0.224 Mg
0.161 0.322 0.776 Mg
0.678 0.839 0.224 Mg
0.678 0.839 0.776 Mg
0.667 0.333 0.253 Mg
0.667 0.333 0.747 Mg
0.000 0.000 0.500 Bi
0.000 0.000 0.000 C

---

Least stable: version x

---

Version w
Mg6BiCO8 | the Alexandria database | PBE | relaxed; Fermi-level density of states = 2.60 states/eV per cell; space group = P4/mmm; volume = 11.140 Å³/atom
1.0
4.452 0.000 0.000
0.000 4.452 0.000
0.000 0.000 8.993
Mg Bi C O
6 1 1 8
direct
0.500 0.500 0.000 Mg
0.500 0.500 0.500 Mg
0.000 0.500 0.221 Mg
0.000 0.500 0.779 Mg
0.500 0.000 0.221 Mg
0.500 0.000 0.779 Mg
0.000 0.000 0.500 Bi
0.000 0.000 0.000 C
0.000 0.000 0.241 O
0.000 0.000 0.759 O
0.500 0.500 0.249 O
0.500 0.500 0.751 O
0.000 0.500 0.000 O
0.000 0.500 0.500 O
0.500 0.000 0.000 O
0.500 0.000 0.500 O

---

Version x
Mg6BiCO8 | the Alexandria database | PBE | relaxed; Fermi-level density of states = 0.80 states/eV per cell; space group = P4/mmm; volume = 10.958 Å³/atom
1.0
4.475 0.000 0.000
0.000 4.475 0.000
0.000 0.000 8.757
Mg Bi C O
6 1 1 8
direct
0.000 0.000 0.500 Mg
0.500 0.500 0.500 Mg
0.000 0.500 0.259 Mg
0.000 0.500 0.741 Mg
0.500 0.000 0.259 Mg
0.500 0.000 0.741 Mg
0.500 0.500 0.000 Bi
0.000 0.000 0.000 C
0.000 0.000 0.262 O
0.000 0.000 0.738 O
0.500 0.500 0.269 O
0.500 0.500 0.731 O
0.000 0.500 0.000 O
0.000 0.500 0.500 O
0.500 0.000 0.000 O
0.500 0.000 0.500 O

---

Least stable: version w

---

Version w
BiMo2C | the Alexandria database | PBE | relaxed; Fermi-level density of states = 5.70 states/eV per cell; space group = I-42d; volume = 19.815 Å³/atom
1.0
-4.549 -2.570 0.269
1.467 -2.121 4.552
-3.895 2.119 5.249
C Mo Bi
2 4 2
direct
0.500 0.500 0.000 C
0.250 0.750 0.500 C
0.474 0.125 0.250 Mo
0.276 0.625 0.250 Mo
0.375 0.526 0.750 Mo
0.875 0.724 0.750 Mo
0.000 0.000 0.000 Bi
0.750 0.250 0.500 Bi

---

Version x
BiMo2C | the Alexandria database | PBE | relaxed; Fermi-level density of states = 3.57 states/eV per cell; space group = Fm-3m; volume = 15.730 Å³/atom
1.0
-3.526 -2.582 0.910
-1.591 -0.218 4.166
-3.936 1.863 0.986
C Mo Bi
1 2 1
direct
0.000 0.000 0.000 C
0.250 0.250 0.250 Mo
0.750 0.750 0.750 Mo
0.500 0.500 0.500 Bi

---

Least stable: version x

---

Version w
BiMoC3 | the Alexandria database | PBE | relaxed; Fermi-level density of states = 6.85 states/eV per cell; space group = Pm-3m; volume = 16.015 Å³/atom
1.0
-2.156 -0.981 3.601
-0.018 -4.156 -1.143
3.732 -0.587 2.074
C Mo Bi
3 1 1
direct
0.000 0.500 0.000 C
0.000 0.000 0.500 C
0.500 0.000 0.000 C
0.500 0.500 0.500 Mo
0.000 0.000 0.000 Bi

---

Version x
BiMoC3 | the Alexandria database | PBE | relaxed; Fermi-level density of states = 3.12 states/eV per cell; space group = Pm-3m; volume = 14.366 Å³/atom
1.0
4.157 0.000 0.000
0.000 4.157 0.000
0.000 0.000 4.157
C Mo Bi
3 1 1
direct
0.000 0.500 0.000 C
0.000 0.000 0.500 C
0.500 0.000 0.000 C
0.000 0.000 0.000 Mo
0.500 0.500 0.500 Bi

---

Least stable: version w

---

Version w
BiMo3C | the Alexandria database | PBE | relaxed; Fermi-level density of states = 12.43 states/eV per cell; space group = Pm-3m; volume = 25.574 Å³/atom
1.0
-1.836 -4.541 -1.179
-0.767 -0.958 4.886
-4.628 1.960 -0.342
C Mo Bi
1 3 1
direct
0.500 0.500 0.500 C
0.000 0.500 0.000 Mo
0.000 0.000 0.500 Mo
0.500 0.000 0.000 Mo
0.000 0.000 0.000 Bi

---

Version x
BiMo3C | the Alexandria database | PBE | relaxed; Fermi-level density of states = 4.41 states/eV per cell; space group = Pm-3m; volume = 15.581 Å³/atom
1.0
-3.800 -0.289 1.929
1.842 -1.923 3.339
0.642 3.803 1.835
C Mo Bi
1 3 1
direct
0.000 0.000 0.000 C
0.000 0.500 0.000 Mo
0.000 0.000 0.500 Mo
0.500 0.000 0.000 Mo
0.500 0.500 0.500 Bi

---

Least stable: version w

---

Version w
BiCS2N | the Alexandria database | PBE | relaxed; Fermi-level density of states = 3.62 states/eV per cell; space group = P4/mmm; volume = 25.393 Å³/atom
1.0
-4.766 2.235 0.466
-0.577 -2.223 4.759
1.900 3.649 1.935
C S Bi N
1 2 1 1
direct
0.500 0.500 0.500 C
0.000 0.500 0.000 S
0.500 0.000 0.000 S
0.000 0.000 0.000 Bi
0.000 0.000 0.500 N

---

Version x
BiCS2N | the Alexandria database | PBE | relaxed; Fermi-level density of states = 2.35 states/eV per cell; space group = P4/mmm; volume = 19.064 Å³/atom
1.0
6.132 0.000 0.000
0.000 6.132 0.000
0.000 0.000 2.535
C S Bi N
1 2 1 1
direct
0.000 0.000 0.000 C
0.000 0.500 0.000 S
0.500 0.000 0.000 S
0.500 0.500 0.500 Bi
0.000 0.000 0.500 N

---

Least stable: version w

---

Version w
BiTe2CN | the Alexandria database | PBE | relaxed; Fermi-level density of states = 4.93 states/eV per cell; space group = P4/mmm; volume = 31.001 Å³/atom
1.0
-1.192 5.386 -2.312
-2.718 -2.598 -4.651
-3.762 0.090 2.149
C Te Bi N
1 2 1 1
direct
0.500 0.500 0.500 C
0.000 0.500 0.000 Te
0.500 0.000 0.000 Te
0.000 0.000 0.000 Bi
0.000 0.000 0.500 N

---

Version x
BiTe2CN | the Alexandria database | PBE | relaxed; Fermi-level density of states = 1.29 states/eV per cell; space group = P4/mmm; volume = 24.989 Å³/atom
1.0
6.819 0.000 0.000
0.000 6.819 0.000
0.000 0.000 2.687
C Te Bi N
1 2 1 1
direct
0.000 0.000 0.000 C
0.000 0.500 0.000 Te
0.500 0.000 0.000 Te
0.500 0.500 0.500 Bi
0.000 0.000 0.500 N

---

Least stable: version w

---

Version w
NaBiC3 | the Alexandria database | PBE | relaxed; Fermi-level density of states = 3.43 states/eV per cell; space group = Pm-3m; volume = 16.622 Å³/atom
1.0
-0.567 2.141 3.760
-2.922 -2.987 1.259
3.191 -2.354 1.822
Na C Bi
1 3 1
direct
0.000 0.000 0.000 Na
0.000 0.500 0.000 C
0.000 0.000 0.500 C
0.500 0.000 0.000 C
0.500 0.500 0.500 Bi

---

Version x
NaBiC3 | the Alexandria database | PBE | relaxed; Fermi-level density of states = 5.50 states/eV per cell; space group = Pm-3m; volume = 19.977 Å³/atom
1.0
-2.070 -2.023 3.626
4.043 -0.055 2.277
-0.950 4.175 1.788
Na C Bi
1 3 1
direct
0.500 0.500 0.500 Na
0.000 0.500 0.000 C
0.000 0.000 0.500 C
0.500 0.000 0.000 C
0.000 0.000 0.000 Bi

---

Least stable: version w

---

Version w
Na4Bi2C4SO16 | the Alexandria database | PBE | relaxed; Fermi-level density of states = 0.00 states/eV per cell; space group = Fddd; volume = 14.871 Å³/atom
1.0
10.143 -0.035 0.000
-0.215 10.140 0.000
-4.964 -5.053 7.809
Na Bi C S O
8 4 8 2 32
direct
0.950 0.050 0.500 Na
0.952 0.452 0.500 Na
0.702 0.702 0.000 Na
0.700 0.300 0.000 Na
0.550 0.450 0.500 Na
0.548 0.048 0.500 Na
0.298 0.298 0.000 Na
0.300 0.700 0.000 Na
0.125 0.875 0.750 Bi
0.625 0.875 0.750 Bi
0.125 0.875 0.250 Bi
0.125 0.375 0.250 Bi
0.886 0.083 0.173 C
0.963 0.660 0.327 C
0.917 0.114 0.827 C
0.910 0.713 0.827 C
0.340 0.037 0.673 C
0.333 0.636 0.673 C
0.287 0.090 0.173 C
0.364 0.667 0.327 C
0.500 0.500 0.000 S
0.750 0.250 0.500 S
0.999 0.073 0.293 O
0.555 0.676 0.108 O
0.764 0.961 0.043 O
0.971 0.667 0.457 O
0.039 0.236 0.957 O
0.960 0.783 0.315 O
0.324 0.445 0.892 O
0.553 0.432 0.108 O
0.468 0.645 0.685 O
0.917 0.721 0.957 O
0.956 0.530 0.207 O
0.568 0.447 0.892 O
0.927 0.001 0.707 O
0.780 0.706 0.707 O
0.895 0.218 0.185 O
0.217 0.040 0.685 O
0.033 0.710 0.815 O
0.355 0.532 0.315 O
0.470 0.044 0.793 O
0.323 0.749 0.793 O
0.682 0.303 0.608 O
0.294 0.220 0.293 O
0.333 0.029 0.543 O
0.782 0.105 0.815 O
0.697 0.318 0.392 O
0.926 0.305 0.608 O
0.290 0.967 0.185 O
0.211 0.514 0.543 O
0.279 0.083 0.043 O
0.486 0.789 0.457 O
0.695 0.074 0.392 O
0.251 0.677 0.207 O

---

Version x
Na4Bi2C4SO16 | the Alexandria database | PBE | relaxed; Fermi-level density of states = 0.34 states/eV per cell; space group = F222; volume = 14.697 Å³/atom
1.0
-6.061 2.621 -7.921
6.860 -4.299 -6.388
-3.966 -5.694 7.722
Na Bi C S O
8 4 8 2 32
direct
0.204 0.796 0.000 Na
0.794 0.794 0.589 Na
0.796 0.796 0.000 Na
0.204 0.204 0.000 Na
0.056 0.556 0.500 Na
0.796 0.204 0.000 Na
0.206 0.206 0.411 Na
0.444 0.944 0.500 Na
0.618 0.367 0.245 Bi
0.122 0.373 0.755 Bi
0.633 0.382 0.755 Bi
0.627 0.878 0.245 Bi
0.405 0.593 0.183 C
0.858 0.550 0.690 C
0.450 0.142 0.310 C
0.832 0.140 0.690 C
0.777 0.589 0.183 C
0.407 0.595 0.817 C
0.411 0.223 0.817 C
0.860 0.168 0.310 C
0.250 0.750 0.500 S
0.000 0.000 0.000 S
0.527 0.723 0.308 O
0.992 0.552 0.705 O
0.281 0.591 0.058 O
0.742 0.549 0.559 O
0.410 0.468 0.182 O
0.195 0.812 0.385 O
0.427 0.810 0.615 O
0.844 0.552 0.809 O
0.448 0.156 0.191 O
0.964 0.257 0.809 O
0.188 0.805 0.615 O
0.190 0.573 0.385 O
0.532 0.590 0.818 O
0.772 0.714 0.182 O
0.817 0.011 0.559 O
0.451 0.258 0.441 O
0.777 0.467 0.058 O
0.409 0.719 0.942 O
0.713 0.153 0.705 O
0.448 0.008 0.295 O
0.059 0.176 0.116 O
0.060 0.943 0.884 O
0.781 0.585 0.308 O
0.277 0.473 0.692 O
0.415 0.219 0.692 O
0.057 0.940 0.116 O
0.824 0.941 0.884 O
0.847 0.287 0.295 O
0.533 0.223 0.942 O
0.989 0.183 0.441 O
0.286 0.228 0.818 O
0.743 0.036 0.191 O

---

Least stable: version x

---

Version w
Nd3BiC | the Alexandria database | PBE | relaxed; Fermi-level density of states = 3.16 states/eV per cell; space group = Pm-3m; volume = 26.962 Å³/atom
1.0
5.128 0.000 0.000
0.000 5.128 0.000
0.000 0.000 5.128
C Nd Bi
1 3 1
direct
0.000 0.000 0.000 C
0.000 0.500 0.000 Nd
0.000 0.000 0.500 Nd
0.500 0.000 0.000 Nd
0.500 0.500 0.500 Bi

---

Version x
Nd3BiC | the Alexandria database | PBE | relaxed; Fermi-level density of states = 5.48 states/eV per cell; space group = P2_1/m; volume = 29.028 Å³/atom
1.0
5.045 0.000 -0.466
0.000 5.005 0.000
-1.457 0.000 11.630
Nd Bi C
6 2 2
direct
0.681 0.250 0.863 Nd
0.319 0.750 0.137 Nd
0.932 0.750 0.363 Nd
0.068 0.250 0.637 Nd
0.443 0.250 0.386 Nd
0.557 0.750 0.614 Nd
0.831 0.250 0.159 Bi
0.169 0.750 0.841 Bi
0.424 0.750 0.347 C
0.576 0.250 0.653 C

---

Least stable: version x